# CsHgN

A relaxed structure of CsHgN (PBE, Alexandria via LeMat-Bulk).

Unit cell a=6.6762 b=6.6657 c=10.9465 alpha=90.00 beta=90.00 gamma=90.00
Space group Amm2 (No. 38)
Asymmetric unit:
1 Cs 0.0000 0.0000 0.0000 [2 per cell]
2 Cs 0.5000 0.0000 0.3378 [2 per cell]
3 Hg 0.2419 0.0000 0.6647 [4 per cell]
4 N 0.5000 0.0871 0.9891 [4 per cell]

Calculated values
E_form (uncorrected): -33 kJ/mol of formula units
final energy: -39.31 eV/cell